A relaxed structure of Ge2SbBr8. Source: Alexandria, functional PBE.

space-group type = C2/m
ΔE_f (raw) = -5.30 eV/f.u.

Cell lengths 7.8592, 8.6460, 8.6460 Å; angles 53.93, 92.58, 92.58 degrees
With the nearest neighbours (Å) after each atom.
Fractional coordinates of all 11 atoms:
Br: 0.7001 0.0834 0.0834  1 Sb 2.74, 1 Ge 2.83
Br: 0.8530 0.1232 0.6398  1 Ge 2.63, 1 Sb 2.84
Br: 0.1470 0.8768 0.3602  1 Ge 2.63, 1 Sb 2.84
Br: 0.1470 0.3602 0.8768  1 Ge 2.63, 1 Sb 2.84
Br: 0.2999 0.9166 0.9166  1 Sb 2.74, 1 Ge 2.83
Br: 0.8530 0.6398 0.1232  1 Ge 2.63, 1 Sb 2.84
Br: 0.6136 0.6934 0.6934  1 Ge 2.39
Br: 0.3864 0.3066 0.3066  1 Ge 2.39
Ge: 0.6273 0.8485 0.8485  3 Br 2.39-2.63
Ge: 0.3727 0.1515 0.1515  3 Br 2.39-2.63
Sb: 0.0000 0.0000 0.0000  6 Br 2.74-2.84

***

A relaxed structure of GeSb2Br. Source: Alexandria, functional PBE.

space-group type = Fm-3m
ΔE_f (raw) = 1.03 eV/f.u.

Cell lengths 5.1722, 5.1722, 5.1722 Å; angles 60.00, 60.00, 60.00 degrees
With the nearest neighbours (Å) after each atom.
Fractional coordinates of all 4 atoms:
Ge: 0.0000 0.0000 0.0000  8 Sb 3.17
Sb: 0.2500 0.2500 0.2500  4 Ge 3.17, 4 Br 3.17
Sb: 0.7500 0.7500 0.7500  4 Br 3.17, 4 Ge 3.17
Br: 0.5000 0.5000 0.5000  8 Sb 3.17

***

A relaxed structure of Ge3SbBr9. Source: Alexandria, functional PBE.

space-group type = Cc
ΔE_f (raw) = -6.99 eV/f.u.

Cell lengths 9.5685, 12.0298, 11.1840 Å; angles 82.94, 64.67, 66.57 degrees
With the nearest neighbours (Å) after each atom.
Fractional coordinates of all 26 atoms:
Ge: 0.4174 0.7781 0.2235  3 Br 2.51-2.63
Ge: 0.9501 0.0316 0.2850  3 Br 2.46-2.67
Ge: 0.0883 0.9980 0.7623  2 Br 2.38-2.63
Ge: 0.7333 0.5316 0.7850  3 Br 2.46-2.67
Ge: 0.5810 0.2781 0.7235  3 Br 2.51-2.63
Ge: 0.1514 0.4980 0.2623  2 Br 2.38-2.63
Br: 0.2178 0.8691 0.1008  2 Ge 2.63-2.67
Br: 0.8123 0.3691 0.6008  2 Ge 2.63-2.67
Br: 0.5998 0.2108 0.5119  1 Ge 2.51
Br: 0.7690 0.0230 0.1855  1 Ge 2.46
Br: 0.6373 0.7289 0.4050  1 Sb 2.58
Br: 0.1197 0.7925 0.7517  1 Ge 2.38
Br: 0.3361 0.2925 0.2517  1 Ge 2.38
Br: 0.2288 0.2289 0.9050  1 Sb 2.58
Br: 0.4667 0.9069 0.7318  1 Sb 2.59
Br: 0.8946 0.4069 0.2318  1 Sb 2.59
Br: 0.9022 0.8677 0.4542  1 Ge 2.60, 1 Sb 2.85
Br: 0.2416 0.5264 0.0065  1 Ge 2.63, 1 Sb 2.91
Br: 0.3808 0.5785 0.2786  2 Ge 2.53-2.80
Br: 0.7621 0.0785 0.7786  2 Ge 2.53-2.80
Br: 0.7759 0.3677 0.9542  1 Ge 2.60, 1 Sb 2.85
Br: 0.0225 0.5230 0.6855  1 Ge 2.46
Br: 0.6775 0.7108 0.0119  1 Ge 2.51
Br: 0.2255 0.0264 0.5065  1 Ge 2.63, 1 Sb 2.91
Sb: 0.0058 0.4460 0.9812  3 Br 2.58-2.85
Sb: 0.5670 0.9460 0.4812  3 Br 2.58-2.85

***

A relaxed structure of Ge3SbBr. Source: Alexandria, functional PBE.

space-group type = Pm-3m
ΔE_f (raw) = 4.04 eV/f.u.

Cell lengths 5.4850, 5.4850, 5.4850 Å; angles 90.00, 90.00, 90.00 degrees
With the nearest neighbours (Å) after each atom.
Fractional coordinates of all 5 atoms:
Ge: 0.5000 0.0000 0.0000  2 Sb 2.74
Ge: 0.0000 0.0000 0.5000  2 Sb 2.74
Ge: 0.0000 0.5000 0.0000  2 Sb 2.74
Br: 0.5000 0.5000 0.5000  12 Ge 3.88
Sb: 0.0000 0.0000 0.0000  6 Ge 2.74

***

A relaxed structure of GeSbSe2Br. Source: Alexandria, functional PBE.

space-group type = P4/mmm
ΔE_f (raw) = 1.81 eV/f.u.

Cell lengths 5.4122, 5.4122, 5.3486 Å; angles 90.00, 90.00, 90.00 degrees
With the nearest neighbours (Å) after each atom.
Fractional coordinates of all 5 atoms:
Se: 0.5000 0.0000 0.0000  2 Sb 2.71
Se: 0.0000 0.5000 0.0000  2 Sb 2.71
Br: 0.0000 0.0000 0.5000  2 Sb 2.67
Ge: 0.5000 0.5000 0.5000  8 Se 3.80, 4 Br 3.83
Sb: 0.0000 0.0000 0.0000  2 Br 2.67, 4 Se 2.71

***

A relaxed structure of GeSbSe2Br. Source: Alexandria, functional PBE.

space-group type = P4/mmm
ΔE_f (raw) = 1.21 eV/f.u.

Cell lengths 5.1218, 5.1218, 5.0361 Å; angles 90.00, 90.00, 90.00 degrees
With the nearest neighbours (Å) after each atom.
Fractional coordinates of all 5 atoms:
Ge: 0.0000 0.0000 0.0000  2 Br 2.52, 4 Se 2.56
Sb: 0.5000 0.5000 0.5000  8 Se 3.59, 4 Br 3.62
Se: 0.0000 0.5000 0.0000  2 Ge 2.56
Se: 0.5000 0.0000 0.0000  2 Ge 2.56
Br: 0.0000 0.0000 0.5000  2 Ge 2.52